No. 1
Compound: HfTi5Fe4
Source: the Alexandria database
Functional: PBE
Structure: optimized geometry

Formation energy in meV/atom: -297
DOS at the Fermi energy in states/eV per atom: 0.6057
Uncorrected energy in eV/atom: -8.62

```
HfTi5Fe4
1.0
-2.280 1.524 1.153
-1.881 -1.471 -1.774
-1.819 -11.233 11.242
Hf Ti Fe
1 5 4
Cartesian
0.000 0.000 0.000 Hf
-2.320 -1.451 1.168 Ti
-2.654 -3.518 3.237 Ti
-2.990 -5.590 5.311 Ti
-3.326 -7.663 7.384 Ti
-3.660 -9.730 9.454 Ti
-0.407 -2.513 2.515 Fe
-0.742 -4.583 4.586 Fe
-1.077 -6.650 6.656 Fe
-1.412 -8.720 8.727 Fe
```

No. 2
Compound: MgCd2Pd5Au2
Source: the Alexandria database
Functional: PBE
Structure: optimized geometry

Formation energy in meV/atom: -221
DOS at the Fermi energy in states/eV per atom: 0.2893
Uncorrected energy in eV/atom: -3.82

```
MgCd2Pd5Au2
1.0
3.797 0.000 0.000
0.000 9.790 0.000
0.000 0.000 9.790
Mg Cd Pd Au
2 4 10 4
Cartesian
0.000 0.000 0.000 Mg
0.000 4.895 4.895 Mg
0.000 6.429 1.534 Cd
0.000 3.361 8.256 Cd
0.000 1.534 3.361 Cd
0.000 8.256 6.429 Cd
1.898 1.972 0.064 Pd
1.898 7.818 9.726 Pd
1.898 0.064 7.818 Pd
1.898 6.867 4.831 Pd
1.898 9.726 1.972 Pd
1.898 2.923 4.959 Pd
1.898 4.959 6.867 Pd
1.898 4.831 2.923 Pd
1.898 4.895 0.000 Pd
1.898 0.000 4.895 Pd
0.000 1.445 6.340 Au
0.000 8.346 3.451 Au
0.000 6.340 8.346 Au
0.000 3.451 1.445 Au
```

No. 3
Compound: Li4Sn
Source: the Alexandria database
Functional: PBE
Structure: optimized geometry

Formation energy in meV/atom: -4
DOS at the Fermi energy in states/eV per atom: 0.3639
Relative energy among the computed polymorphs in meV per atom: 254
Uncorrected energy in eV/atom: -2.34

```
Li4Sn
1.0
5.185 0.000 0.000
0.000 5.185 0.000
0.000 0.000 5.185
Sn Li
1 4
Cartesian
2.592 2.592 2.592 Sn
0.000 0.000 0.000 Li
2.592 0.000 2.592 Li
0.000 2.592 2.592 Li
2.592 2.592 0.000 Li
```

No. 4
Compound: NdDy2Al2Zn2
Source: the Alexandria database
Functional: PBE
Structure: optimized geometry

Formation energy in meV/atom: -310
DOS at the Fermi energy in states/eV per atom: 0.5361
Uncorrected energy in eV/atom: -3.74

```
NdDy2Al2Zn2
1.0
4.537 0.000 0.000
2.269 3.930 0.000
2.269 1.310 9.229
Nd Dy Al Zn
1 2 2 2
Cartesian
0.000 0.000 0.000 Nd
2.269 1.310 5.662 Dy
6.806 3.930 3.567 Dy
6.806 3.930 7.195 Al
2.269 1.310 2.035 Al
4.537 2.620 1.970 Zn
4.537 2.620 7.259 Zn
```

Question: The lowest DOS at the Fermi energy belongs to which entry?
Answer: MgCd2Pd5Au2

What did the fourth record say?
Compound: NdDy2Al2Zn2
Source: the Alexandria database
Functional: PBE
Structure: optimized geometry

Formation energy in meV/atom: -310
DOS at the Fermi energy in states/eV per atom: 0.5361
Uncorrected energy in eV/atom: -3.74

```
NdDy2Al2Zn2
1.0
4.537 0.000 0.000
2.269 3.930 0.000
2.269 1.310 9.229
Nd Dy Al Zn
1 2 2 2
Cartesian
0.000 0.000 0.000 Nd
2.269 1.310 5.662 Dy
6.806 3.930 3.567 Dy
6.806 3.930 7.195 Al
2.269 1.310 2.035 Al
4.537 2.620 1.970 Zn
4.537 2.620 7.259 Zn
```